<w>
CsMoPt, optimized geometry, DFT PBE; total magnetization = 0.20 μB/f.u.; theoretical density = 9.87 g/cm3
1.0
6.5820 0.0000 0.0000
0.0000 6.5820 0.0000
0.0000 0.0000 6.5820
Cs Mo Pt
4 4 4
Direct
0.0000 0.0000 0.0000
0.0000 0.5000 0.5000
0.5000 0.0000 0.5000
0.5000 0.5000 0.0000
0.2500 0.2500 0.7500
0.2500 0.7500 0.2500
0.7500 0.2500 0.2500
0.7500 0.7500 0.7500
0.0000 0.0000 0.5000
0.0000 0.5000 0.0000
0.5000 0.0000 0.0000
0.5000 0.5000 0.5000

<x>
CsMoPt, optimized geometry, DFT PBE; total magnetization = 4.67 μB/f.u.; theoretical density = 7.78 g/cm3
1.0
7.1257 0.0000 0.0000
0.0000 7.1257 0.0000
0.0000 0.0000 7.1257
Cs Mo Pt
4 4 4
Direct
0.0000 0.0000 0.0000
0.0000 0.5000 0.5000
0.5000 0.0000 0.5000
0.5000 0.5000 0.0000
0.0000 0.0000 0.5000
0.0000 0.5000 0.0000
0.5000 0.0000 0.0000
0.5000 0.5000 0.5000
0.2500 0.2500 0.2500
0.2500 0.7500 0.7500
0.7500 0.2500 0.7500
0.7500 0.7500 0.2500

Which structure loses on stability? <x> does.

<w>
CsSiMo, optimized geometry, DFT PBE; total magnetization = 1.00 μB/f.u.; theoretical density = 5.76 g/cm3
1.0
6.6658 0.0000 0.0000
0.0000 6.6658 0.0000
0.0000 0.0000 6.6658
Cs Si Mo
4 4 4
Direct
0.0000 0.0000 0.0000
0.0000 0.5000 0.5000
0.5000 0.0000 0.5000
0.5000 0.5000 0.0000
0.0000 0.0000 0.5000
0.0000 0.5000 0.0000
0.5000 0.0000 0.0000
0.5000 0.5000 0.5000
0.2500 0.2500 0.2500
0.2500 0.7500 0.7500
0.7500 0.2500 0.7500
0.7500 0.7500 0.2500

<x>
CsSiMo, optimized geometry, DFT PBE; total magnetization = 3.00 μB/f.u.; theoretical density = 4.55 g/cm3
1.0
7.2136 0.0000 0.0000
0.0000 7.2136 0.0000
0.0000 0.0000 7.2136
Cs Si Mo
4 4 4
Direct
0.0000 0.0000 0.0000
0.0000 0.5000 0.5000
0.5000 0.0000 0.5000
0.5000 0.5000 0.0000
0.2500 0.2500 0.2500
0.2500 0.7500 0.7500
0.7500 0.2500 0.7500
0.7500 0.7500 0.2500
0.0000 0.0000 0.5000
0.0000 0.5000 0.0000
0.5000 0.0000 0.0000
0.5000 0.5000 0.5000

Which structure loses on stability? <x> does.

<w>
CsOsNO, optimized geometry, DFT PBE; total magnetization = 0.01 μB/f.u.; theoretical density = 7.74 g/cm3
1.0
3.6881 0.0000 0.0000
0.0000 3.6881 0.0000
0.0000 0.0000 11.1336
Cs Os N O
2 2 2 2
Direct
0.2500 0.2500 0.1910
0.7500 0.7500 0.8090
0.2500 0.7500 0.5000
0.7500 0.2500 0.5000
0.2500 0.2500 0.5886
0.7500 0.7500 0.4114
0.2500 0.7500 0.0000
0.7500 0.2500 0.0000

<x>
CsOsNO, optimized geometry, DFT PBE; total magnetization = 0.00 μB/f.u.; theoretical density = 7.21 g/cm3
1.0
3.7957 0.0000 0.0000
0.0000 6.6343 0.0000
0.0000 0.0000 6.4602
Cs Os N O
2 2 2 2
Direct
0.0000 0.1738 0.0000
0.0000 0.8262 0.5000
0.5000 0.3696 0.4958
0.5000 0.6304 0.9958
0.5000 0.4932 0.7497
0.5000 0.5068 0.2497
0.0000 0.2763 0.4923
0.0000 0.7237 0.9923

Which structure loses on stability? <w> does.

<w>
CsPdNO, optimized geometry, DFT PBE; theoretical density = 5.33 g/cm3
1.0
3.9014 0.0000 0.0000
0.0000 3.9014 0.0000
0.0000 0.0000 11.0156
Cs Pd N O
2 2 2 2
Direct
0.2500 0.2500 0.1874
0.7500 0.7500 0.8126
0.2500 0.7500 0.5000
0.7500 0.2500 0.5000
0.2500 0.2500 0.5709
0.7500 0.7500 0.4291
0.2500 0.7500 0.0000
0.7500 0.2500 0.0000

<x>
CsPdNO, optimized geometry, DFT PBE; theoretical density = 5.22 g/cm3
1.0
3.8298 0.0000 0.0000
0.0000 6.7432 0.0000
0.0000 0.0000 6.6341
Cs Pd N O
2 2 2 2
Direct
0.0000 0.1805 0.0000
0.0000 0.8195 0.5000
0.5000 0.3749 0.5047
0.5000 0.6251 0.0047
0.5000 0.4720 0.7695
0.5000 0.5280 0.2695
0.0000 0.2553 0.4968
0.0000 0.7447 0.9968

Which structure loses on stability? <w> does.

<w>
CsSmNO, optimized geometry, DFT PBE; total magnetization = 1.00 μB/f.u.; theoretical density = 4.94 g/cm3
1.0
4.0544 0.0000 0.0000
0.0000 7.9679 0.0000
0.0000 0.0000 6.5180
Cs Sm N O
2 2 2 2
Direct
0.0000 0.1648 0.0000
0.0000 0.8352 0.5000
0.5000 0.3568 0.5221
0.5000 0.6432 0.0221
0.0000 0.2190 0.4623
0.0000 0.7810 0.9623
0.5000 0.4056 0.8522
0.5000 0.5944 0.3522

<x>
CsSmNO, optimized geometry, DFT PBE; total magnetization = 1.00 μB/f.u.; theoretical density = 5.04 g/cm3
1.0
3.8597 0.0000 0.0000
0.0000 7.9028 0.0000
0.0000 0.0000 6.7737
Cs Sm N O
2 2 2 2
Direct
0.0000 0.1552 0.0000
0.0000 0.8448 0.5000
0.5000 0.3471 0.4971
0.5000 0.6529 0.9971
0.5000 0.3994 0.8326
0.5000 0.6006 0.3326
0.0000 0.2146 0.4383
0.0000 0.7854 0.9383

Which structure loses on stability? <x> does.

<w>
CsTcNO, optimized geometry, DFT PBE; total magnetization = 0.00 μB/f.u.; theoretical density = 5.60 g/cm3
1.0
6.1691 0.0000 0.0000
0.0000 3.5209 0.0000
0.0000 0.0000 7.1230
Cs Tc N O
2 2 2 2
Direct
0.2500 0.0000 0.1886
0.7500 0.0000 0.8114
0.2500 0.5000 0.6417
0.7500 0.5000 0.3583
0.0000 0.5000 0.5000
0.5000 0.5000 0.5000
0.2500 0.0000 0.7756
0.7500 0.0000 0.2244

<x>
CsTcNO, optimized geometry, DFT PBE; total magnetization = 0.00 μB/f.u.; theoretical density = 5.57 g/cm3
1.0
3.3460 0.0000 0.0000
0.0000 7.1886 0.0000
0.0000 0.0000 6.4723
Cs Tc N O
2 2 2 2
Direct
0.0000 0.1996 0.0000
0.0000 0.8004 0.5000
0.5000 0.3507 0.5009
0.5000 0.6493 0.0009
0.0000 0.2254 0.4967
0.0000 0.7746 0.9967
0.5000 0.4961 0.7533
0.5000 0.5039 0.2533

Which structure loses on stability? <x> does.

<w>
CsZnNO, optimized geometry, DFT PBE; theoretical density = 5.13 g/cm3
1.0
3.6712 0.0000 0.0000
0.0000 3.6712 0.0000
0.0000 0.0000 10.9684
Cs Zn N O
2 2 2 2
Direct
0.2500 0.2500 0.1991
0.7500 0.7500 0.8009
0.2500 0.7500 0.5000
0.7500 0.2500 0.5000
0.2500 0.2500 0.5836
0.7500 0.7500 0.4164
0.2500 0.7500 0.0000
0.7500 0.2500 0.0000

<x>
CsZnNO, optimized geometry, DFT PBE; theoretical density = 4.85 g/cm3
1.0
4.5544 0.0000 0.0000
0.0000 4.5544 0.0000
0.0000 0.0000 7.5423
Cs Zn N O
2 2 2 2
Direct
0.2500 0.7500 0.0000
0.7500 0.2500 0.0000
0.2500 0.2500 0.4536
0.7500 0.7500 0.5464
0.2500 0.2500 0.1984
0.7500 0.7500 0.8016
0.2500 0.7500 0.5000
0.7500 0.2500 0.5000

<y>
CsZnNO, optimized geometry, DFT PBE; theoretical density = 5.03 g/cm3
1.0
3.3450 0.0000 0.0000
0.0000 7.2927 0.0000
0.0000 0.0000 6.1763
Cs Zn N O
2 2 2 2
Direct
0.0000 0.1952 0.0000
0.0000 0.8048 0.5000
0.5000 0.3392 0.5001
0.5000 0.6608 0.0001
0.5000 0.4990 0.7511
0.5000 0.5010 0.2511
0.0000 0.2003 0.4997
0.0000 0.7997 0.9997

<z>
CsZnNO, optimized geometry, DFT PBE; theoretical density = 5.06 g/cm3
1.0
5.9663 0.0000 0.0000
0.0000 8.6167 0.0000
0.0000 0.0000 5.8256
Cs Zn N O
4 4 4 4
Direct
0.0361 0.1558 0.0000
0.4639 0.1558 0.5000
0.5361 0.8442 0.0000
0.9639 0.8442 0.5000
0.0932 0.5836 0.0141
0.4068 0.5836 0.5141
0.5932 0.4164 0.0141
0.9068 0.4164 0.5141
0.1392 0.5230 0.6915
0.3608 0.5230 0.1915
0.6392 0.4770 0.6915
0.8608 0.4770 0.1915
0.0325 0.7969 0.9983
0.4675 0.7969 0.4983
0.5325 0.2031 0.9983
0.9675 0.2031 0.4983

Which structure loses on stability? <x> does.

<w>
CsZrNO, optimized geometry, DFT PBE; total magnetization = 0.00 μB/f.u.; theoretical density = 4.82 g/cm3
1.0
6.4849 0.0000 0.0000
0.0000 3.6519 0.0000
0.0000 0.0000 7.3977
Cs Zr N O
2 2 2 2
Direct
0.2500 0.0000 0.2094
0.7500 0.0000 0.7906
0.2500 0.5000 0.6603
0.7500 0.5000 0.3397
0.0000 0.5000 0.5000
0.5000 0.5000 0.5000
0.2500 0.0000 0.7991
0.7500 0.0000 0.2009

<x>
CsZrNO, optimized geometry, DFT PBE; total magnetization = 0.00 μB/f.u.; theoretical density = 4.79 g/cm3
1.0
6.4996 0.0000 0.0000
0.0000 9.0510 0.0000
0.0000 0.0000 5.9899
Cs Zr N O
4 4 4 4
Direct
0.0501 0.1365 0.0000
0.4499 0.1365 0.5000
0.5501 0.8635 0.0000
0.9499 0.8635 0.5000
0.0877 0.5909 0.9786
0.4123 0.5909 0.4786
0.5877 0.4091 0.9786
0.9123 0.4091 0.4786
0.1352 0.5408 0.6394
0.3648 0.5408 0.1394
0.6352 0.4592 0.6394
0.8648 0.4592 0.1394
0.0268 0.8002 0.0070
0.4732 0.8002 0.5070
0.5268 0.1998 0.0070
0.9732 0.1998 0.5070

Which structure loses on stability? <w> does.

<w>
CsZrNO, optimized geometry, DFT PBE; total magnetization = 0.00 μB/f.u.; theoretical density = 4.76 g/cm3
1.0
3.6664 0.0000 0.0000
0.0000 7.4412 0.0000
0.0000 0.0000 6.5029
Cs Zr N O
2 2 2 2
Direct
0.0000 0.2107 0.0000
0.0000 0.7893 0.5000
0.5000 0.3409 0.4999
0.5000 0.6591 0.9999
0.5000 0.4990 0.7508
0.5000 0.5010 0.2508
0.0000 0.2035 0.4989
0.0000 0.7965 0.9989

<x>
CsZrNO, optimized geometry, DFT PBE; total magnetization = 0.00 μB/f.u.; theoretical density = 4.72 g/cm3
1.0
3.5347 0.0000 0.0000
0.0000 7.7854 0.0000
0.0000 0.0000 6.4952
Cs Zr N O
2 2 2 2
Direct
0.0000 0.1617 0.0000
0.0000 0.8383 0.5000
0.5000 0.3586 0.5123
0.5000 0.6414 0.0123
0.0000 0.2267 0.4742
0.0000 0.7733 0.9742
0.5000 0.4402 0.8109
0.5000 0.5598 0.3109

<y>
CsZrNO, optimized geometry, DFT PBE; total magnetization = 1.06 μB/f.u.; theoretical density = 4.09 g/cm3
1.0
4.2578 0.0000 0.0000
0.0000 4.2578 0.0000
0.0000 0.0000 11.3771
Cs Zr N O
2 2 2 2
Direct
0.2500 0.2500 0.1579
0.7500 0.7500 0.8421
0.2500 0.7500 0.5000
0.7500 0.2500 0.5000
0.2500 0.2500 0.5428
0.7500 0.7500 0.4572
0.2500 0.7500 0.0000
0.7500 0.2500 0.0000

<z>
CsZrNO, optimized geometry, DFT PBE; total magnetization = 0.00 μB/f.u.; theoretical density = 4.90 g/cm3
1.0
4.5634 0.0000 0.0000
0.0000 4.5634 0.0000
0.0000 0.0000 8.2726
Cs Zr N O
2 2 2 2
Direct
0.2500 0.7500 0.0000
0.7500 0.2500 0.0000
0.2500 0.2500 0.4343
0.7500 0.7500 0.5657
0.2500 0.2500 0.2133
0.7500 0.7500 0.7867
0.2500 0.7500 0.5000
0.7500 0.2500 0.5000

Which structure loses on stability? <y> does.

<w>
CsNaTePd, optimized geometry, DFT PBE; theoretical density = 5.91 g/cm3
1.0
7.5945 0.0000 0.0000
0.0000 7.5945 0.0000
0.0000 0.0000 7.5945
Cs Na Te Pd
4 4 4 4
Direct
0.0000 0.0000 0.0000
0.0000 0.5000 0.5000
0.5000 0.0000 0.5000
0.5000 0.5000 0.0000
0.2500 0.2500 0.7500
0.2500 0.7500 0.2500
0.7500 0.2500 0.2500
0.7500 0.7500 0.7500
0.0000 0.0000 0.5000
0.0000 0.5000 0.0000
0.5000 0.0000 0.0000
0.5000 0.5000 0.5000
0.2500 0.2500 0.2500
0.2500 0.7500 0.7500
0.7500 0.2500 0.7500
0.7500 0.7500 0.2500

<x>
CsNaTePd, optimized geometry, DFT PBE; theoretical density = 4.92 g/cm3
1.0
8.0740 0.0000 0.0000
0.0000 8.0740 0.0000
0.0000 0.0000 8.0740
Cs Na Te Pd
4 4 4 4
Direct
0.0000 0.0000 0.0000
0.0000 0.5000 0.5000
0.5000 0.0000 0.5000
0.5000 0.5000 0.0000
0.0000 0.0000 0.5000
0.0000 0.5000 0.0000
0.5000 0.0000 0.0000
0.5000 0.5000 0.5000
0.2500 0.2500 0.2500
0.2500 0.7500 0.7500
0.7500 0.2500 0.7500
0.7500 0.7500 0.2500
0.2500 0.2500 0.7500
0.2500 0.7500 0.2500
0.7500 0.2500 0.2500
0.7500 0.7500 0.7500

Which structure loses on stability? <x> does.

<w>
CsNaPt, optimized geometry, DFT PBE; total magnetization = 0.00 μB/f.u.; theoretical density = 5.32 g/cm3
1.0
7.5965 0.0000 0.0000
0.0000 7.5965 0.0000
0.0000 0.0000 7.5965
Cs Na Pt
4 4 4
Direct
0.0000 0.0000 0.0000
0.0000 0.5000 0.5000
0.5000 0.0000 0.5000
0.5000 0.5000 0.0000
0.0000 0.0000 0.5000
0.0000 0.5000 0.0000
0.5000 0.0000 0.0000
0.5000 0.5000 0.5000
0.2500 0.2500 0.2500
0.2500 0.7500 0.7500
0.7500 0.2500 0.7500
0.7500 0.7500 0.2500

<x>
CsNaPt, optimized geometry, DFT PBE; total magnetization = 0.00 μB/f.u.; theoretical density = 5.59 g/cm3
1.0
7.4726 0.0000 0.0000
0.0000 7.4726 0.0000
0.0000 0.0000 7.4726
Cs Na Pt
4 4 4
Direct
0.0000 0.0000 0.0000
0.0000 0.5000 0.5000
0.5000 0.0000 0.5000
0.5000 0.5000 0.0000
0.2500 0.2500 0.7500
0.2500 0.7500 0.2500
0.7500 0.2500 0.2500
0.7500 0.7500 0.7500
0.2500 0.2500 0.2500
0.2500 0.7500 0.7500
0.7500 0.2500 0.7500
0.7500 0.7500 0.2500

Which structure loses on stability? <x> does.